No. 1
The following is a PBE calculation of crystalline Ti2PH at its relaxed geometry, from Alexandria.

Properties
As for the final energy: -54.31 eV per cell. As for the magnetization: 0.00 μB/f.u.

Unit cell a=3.421 b=5.805 c=5.648 alpha=106.50 beta=107.60 gamma=90.01
Positions (direct):
Ti (0.886, 0.663, 0.271)
Ti (0.386, 0.163, 0.271)
Ti (0.614, 0.837, 0.729)
Ti (0.114, 0.337, 0.729)
P (0.750, 0.250, 0.000)
P (0.250, 0.750, 0.000)
H (0.000, 0.000, 0.500)
H (0.500, 0.500, 0.500)

---

No. 2
The following is a PBE calculation of crystalline Ti4P2H at its relaxed geometry, from Alexandria.

Properties
The value obtained for the energy above the most stable polymorph in this dataset is 258 meV per atom. As for the final energy: -50.53 eV per cell. As for the magnetization: 0.00 μB/f.u.

Unit cell a=3.299 b=5.772 c=6.251 alpha=118.18 beta=105.30 gamma=90.00
Positions (direct):
Ti (0.894, 0.221, 0.788)
Ti (0.106, 0.779, 0.212)
Ti (0.611, 0.267, 0.221)
Ti (0.389, 0.733, 0.779)
P (0.743, 0.744, 0.486)
P (0.257, 0.256, 0.514)
H (0.000, 0.000, 0.000)

---

No. 3
The following is a PBE calculation of crystalline Ti5P2H at its relaxed geometry, from Alexandria.

Properties
As for the final energy: -114.08 eV per cell. As for the magnetization: 0.00 μB/f.u.

Unit cell a=4.774 b=5.342 c=10.931 alpha=90.00 beta=90.00 gamma=116.54
Positions (direct):
Ti (0.923, 0.847, 0.877)
Ti (0.923, 0.847, 0.623)
Ti (0.369, 0.738, 0.441)
Ti (0.369, 0.738, 0.059)
Ti (0.661, 0.322, 0.250)
Ti (0.339, 0.678, 0.750)
Ti (0.631, 0.262, 0.559)
Ti (0.631, 0.262, 0.941)
Ti (0.077, 0.153, 0.123)
Ti (0.077, 0.153, 0.377)
P (0.830, 0.660, 0.415)
P (0.830, 0.660, 0.085)
P (0.170, 0.340, 0.585)
P (0.170, 0.340, 0.915)
H (0.782, 0.565, 0.750)
H (0.218, 0.435, 0.250)

---

No. 4
The following is a PBE calculation of crystalline TiPH at its relaxed geometry, from Alexandria.

Properties
The value obtained for the energy above the most stable polymorph in this dataset is 242 meV per atom. As for the final energy: -36.77 eV per cell. As for the magnetization: 0.00 μB/f.u.

Unit cell a=3.378 b=4.688 c=4.715 alpha=75.70 beta=70.44 gamma=69.14
Positions (direct):
Ti (0.180, 0.948, 0.529)
Ti (0.692, 0.450, 0.013)
P (0.952, 0.537, 0.429)
P (0.430, 0.035, 0.947)
H (0.493, 0.531, 0.653)
H (0.124, 0.661, 0.911)

---

No. 5
The following is a PBE calculation of crystalline TiPH at its relaxed geometry, from Alexandria.

Properties
The value obtained for the energy above the most stable polymorph in this dataset is 168 meV per atom. As for the final energy: -37.21 eV per cell. As for the magnetization: 0.00 μB/f.u.

Unit cell a=3.390 b=3.352 c=5.761 alpha=90.00 beta=90.83 gamma=90.00
Positions (direct):
Ti (0.544, 0.000, 0.393)
Ti (0.058, 0.000, 0.879)
P (0.556, 0.500, 0.738)
P (0.991, 0.500, 0.194)
H (0.282, 0.500, 0.409)
H (0.050, 0.000, 0.548)

---

No. 6
The following is a PBE calculation of crystalline Ti3P2H at its relaxed geometry, from Alexandria.

Properties
The value obtained for the energy above the most stable polymorph in this dataset is 0 meV per atom. As for the final energy: -176.06 eV per cell. As for the magnetization: 0.00 μB/f.u.

Unit cell a=3.465 b=6.714 c=13.405 alpha=90.00 beta=90.00 gamma=90.00
Positions (direct):
Ti (0.250, 0.317, 0.772)
Ti (0.750, 0.683, 0.228)
Ti (0.750, 0.183, 0.272)
Ti (0.250, 0.817, 0.728)
Ti (0.750, 0.004, 0.899)
Ti (0.250, 0.996, 0.101)
Ti (0.250, 0.496, 0.399)
Ti (0.750, 0.504, 0.601)
Ti (0.250, 0.126, 0.574)
Ti (0.750, 0.874, 0.426)
Ti (0.750, 0.374, 0.074)
Ti (0.250, 0.626, 0.926)
P (0.250, 0.255, 0.956)
P (0.750, 0.745, 0.044)
P (0.750, 0.245, 0.456)
P (0.250, 0.755, 0.544)
P (0.750, 0.081, 0.713)
P (0.250, 0.919, 0.287)
P (0.250, 0.419, 0.213)
P (0.750, 0.581, 0.787)
H (0.250, 0.384, 0.633)
H (0.750, 0.616, 0.367)
H (0.750, 0.116, 0.133)
H (0.250, 0.884, 0.867)

---

No. 7
The following is a PBE calculation of crystalline TiPH at its relaxed geometry, from Alexandria.

Properties
The value obtained for the energy above the most stable polymorph in this dataset is 205 meV per atom. As for the final energy: -36.99 eV per cell. As for the magnetization: 0.00 μB/f.u.

Unit cell a=3.254 b=5.177 c=5.733 alpha=129.74 beta=106.49 gamma=90.00
Positions (direct):
Ti (0.821, 0.357, 0.642)
Ti (0.179, 0.643, 0.358)
P (0.546, 0.778, 0.091)
P (0.454, 0.222, 0.909)
H (0.208, 0.317, 0.416)
H (0.792, 0.683, 0.584)

---

No. 8
The following is a PBE calculation of crystalline TiPH at its relaxed geometry, from Alexandria.

Properties
The value obtained for the energy above the most stable polymorph in this dataset is 222 meV per atom. As for the final energy: -110.66 eV per cell. As for the magnetization: 0.00 μB/f.u.

Unit cell a=3.331 b=3.331 c=20.184 alpha=90.00 beta=90.00 gamma=120.00
Positions (direct):
Ti (0.000, 0.000, 0.571)
Ti (0.333, 0.667, 0.237)
Ti (0.667, 0.333, 0.904)
Ti (0.000, 0.000, 0.732)
Ti (0.333, 0.667, 0.399)
Ti (0.667, 0.333, 0.066)
P (0.000, 0.000, 0.319)
P (0.333, 0.667, 0.985)
P (0.667, 0.333, 0.652)
P (0.000, 0.000, 0.152)
P (0.333, 0.667, 0.819)
P (0.667, 0.333, 0.485)
H (0.000, 0.000, 0.038)
H (0.333, 0.667, 0.704)
H (0.667, 0.333, 0.371)
H (0.000, 0.000, 0.909)
H (0.333, 0.667, 0.576)
H (0.667, 0.333, 0.243)

---

No. 9
The following is a PBE calculation of crystalline Ti8P2H3 at its relaxed geometry, from Alexandria.

Properties
As for the final energy: -89.50 eV per cell. As for the magnetization: 0.00 μB/f.u.

Unit cell a=4.908 b=6.738 c=6.354 alpha=122.02 beta=98.86 gamma=90.00
Positions (direct):
Ti (0.854, 0.620, 0.240)
Ti (0.146, 0.380, 0.760)
Ti (0.853, 0.122, 0.243)
Ti (0.147, 0.878, 0.757)
Ti (0.681, 0.661, 0.801)
Ti (0.681, 0.140, 0.801)
Ti (0.319, 0.860, 0.199)
Ti (0.319, 0.339, 0.199)
P (0.513, 0.258, 0.516)
P (0.487, 0.742, 0.484)
H (0.500, 0.000, 0.000)
H (0.000, 0.337, 0.000)
H (0.000, 0.663, 0.000)

---

No. 10
The following is a PBE calculation of crystalline TiPH at its relaxed geometry, from Alexandria.

Properties
The value obtained for the energy above the most stable polymorph in this dataset is 666 meV per atom. As for the final energy: -34.22 eV per cell. As for the magnetization: 0.00 μB/f.u.

Unit cell a=3.402 b=3.432 c=7.270 alpha=88.79 beta=90.00 gamma=119.71
Positions (direct):
P (0.993, 0.986, 0.847)
P (0.007, 0.014, 0.153)
H (0.273, 0.546, 0.108)
H (0.727, 0.454, 0.892)
Ti (0.338, 0.676, 0.350)
Ti (0.662, 0.324, 0.650)

---

No. 11
The following is a PBE calculation of crystalline Ti6P2H at its relaxed geometry, from Alexandria.

Properties
As for the final energy: -137.76 eV per cell. As for the magnetization: 0.00 μB/f.u.

Unit cell a=5.095 b=6.298 c=7.773 alpha=90.00 beta=89.77 gamma=90.00
Positions (direct):
Ti (0.882, 0.975, 0.243)
Ti (0.868, 0.691, 0.541)
Ti (0.866, 0.689, 0.958)
Ti (0.634, 0.189, 0.542)
Ti (0.632, 0.191, 0.959)
Ti (0.618, 0.475, 0.257)
Ti (0.118, 0.025, 0.757)
Ti (0.132, 0.309, 0.459)
Ti (0.134, 0.311, 0.042)
Ti (0.366, 0.811, 0.458)
Ti (0.368, 0.809, 0.041)
Ti (0.382, 0.525, 0.743)
P (0.912, 0.391, 0.749)
P (0.588, 0.891, 0.751)
P (0.412, 0.109, 0.249)
P (0.088, 0.609, 0.251)
H (0.500, 0.500, 0.000)
H (0.000, 0.000, 0.500)

---

No. 12
The following is a PBE calculation of crystalline TiP3H at its relaxed geometry, from Alexandria.

Properties
The value obtained for the energy above the most stable polymorph in this dataset is 0 meV per atom. As for the final energy: -25.62 eV per cell. As for the magnetization: 0.00 μB/f.u.

Unit cell a=3.948 b=3.948 c=3.948 alpha=90.00 beta=90.00 gamma=90.00
Positions (direct):
P (0.000, 0.500, 0.000)
P (0.000, 0.000, 0.500)
P (0.500, 0.000, 0.000)
H (0.000, 0.000, 0.000)
Ti (0.500, 0.500, 0.500)

---

No. 13
The following is a PBE calculation of crystalline Ti3PH3 at its relaxed geometry, from Alexandria.

Properties
As for the final energy: -86.46 eV per cell. As for the magnetization: 0.00 μB/f.u.

Unit cell a=5.628 b=5.628 c=6.352 alpha=63.71 beta=63.71 gamma=60.00
Positions (direct):
Ti (0.245, 0.573, 0.273)
Ti (0.910, 0.245, 0.273)
Ti (0.573, 0.910, 0.273)
Ti (0.427, 0.090, 0.727)
Ti (0.090, 0.755, 0.727)
Ti (0.755, 0.427, 0.727)
P (0.334, 0.334, 0.999)
P (0.666, 0.666, 0.001)
H (0.460, 0.793, 0.620)
H (0.793, 0.127, 0.620)
H (0.127, 0.460, 0.620)
H (0.873, 0.540, 0.380)
H (0.207, 0.873, 0.380)
H (0.540, 0.207, 0.380)

---

No. 14
The following is a PBE calculation of crystalline TiP2H at its relaxed geometry, from Alexandria.

Properties
The value obtained for the energy above the most stable polymorph in this dataset is 0 meV per atom. As for the final energy: -45.08 eV per cell. As for the magnetization: 0.00 μB/f.u.

Unit cell a=5.647 b=5.647 c=4.959 alpha=55.30 beta=55.30 gamma=90.00
Positions (direct):
P (0.530, 0.125, 0.250)
P (0.220, 0.625, 0.250)
P (0.375, 0.470, 0.750)
P (0.875, 0.780, 0.750)
H (0.500, 0.500, 0.000)
H (0.250, 0.750, 0.500)
Ti (0.000, 0.000, 0.000)
Ti (0.750, 0.250, 0.500)

---

No. 15
The following is a PBE calculation of crystalline Ti3PH at its relaxed geometry, from Alexandria.

Properties
The value obtained for the energy above the most stable polymorph in this dataset is 0 meV per atom. As for the final energy: -71.30 eV per cell. As for the magnetization: 0.00 μB/f.u.

Unit cell a=3.196 b=6.185 c=7.018 alpha=98.35 beta=76.54 gamma=104.92
Positions (direct):
Ti (0.872, 0.432, 0.682)
Ti (0.626, 0.267, 0.036)
Ti (0.844, 0.979, 0.293)
Ti (0.128, 0.568, 0.318)
Ti (0.156, 0.021, 0.707)
Ti (0.374, 0.733, 0.964)
P (0.573, 0.731, 0.585)
P (0.427, 0.269, 0.415)
H (0.241, 0.330, 0.851)
H (0.759, 0.670, 0.149)

---

No. 16
The following is a PBE calculation of crystalline Ti6PH2 at its relaxed geometry, from Alexandria.

Properties
As for the final energy: -62.34 eV per cell. As for the magnetization: 0.00 μB/f.u.

Unit cell a=3.462 b=5.370 c=7.673 alpha=69.90 beta=76.96 gamma=71.19
Positions (direct):
Ti (0.682, 0.731, 0.906)
Ti (0.318, 0.269, 0.094)
Ti (0.001, 0.805, 0.193)
Ti (0.329, 0.766, 0.575)
Ti (0.999, 0.195, 0.807)
Ti (0.671, 0.234, 0.425)
P (0.000, 0.500, 0.500)
H (0.181, 0.826, 0.812)
H (0.819, 0.174, 0.188)

---

No. 17
The following is a PBE calculation of crystalline TiPH at its relaxed geometry, from Alexandria.

Properties
The value obtained for the energy above the most stable polymorph in this dataset is 177 meV per atom. As for the final energy: -74.31 eV per cell. As for the magnetization: 0.00 μB/f.u.

Unit cell a=6.029 b=6.695 c=3.258 alpha=90.00 beta=90.00 gamma=90.00
Positions (direct):
Ti (0.000, 0.771, 0.000)
Ti (0.000, 0.229, 0.000)
Ti (0.500, 0.271, 0.500)
Ti (0.500, 0.729, 0.500)
P (0.290, 0.500, 0.000)
P (0.710, 0.500, 0.000)
P (0.790, 0.000, 0.500)
P (0.210, 0.000, 0.500)
H (0.000, 0.355, 0.500)
H (0.000, 0.645, 0.500)
H (0.500, 0.855, 0.000)
H (0.500, 0.145, 0.000)

---

No. 18
The following is a PBE calculation of crystalline TiP2H at its relaxed geometry, from Alexandria.

Properties
The value obtained for the energy above the most stable polymorph in this dataset is 422 meV per atom. As for the final energy: -20.85 eV per cell. As for the magnetization: 0.00 μB/f.u.

Unit cell a=4.186 b=4.186 c=4.186 alpha=60.00 beta=60.00 gamma=60.00
Positions (direct):
P (0.250, 0.250, 0.250)
P (0.750, 0.750, 0.750)
H (0.000, 0.000, 0.000)
Ti (0.500, 0.500, 0.500)

---

No. 19
The following is a PBE calculation of crystalline Ti3P2H2 at its relaxed geometry, from Alexandria.

Properties
As for the final energy: -92.17 eV per cell. As for the magnetization: 0.00 μB/f.u.

Unit cell a=5.632 b=6.516 c=4.814 alpha=90.00 beta=69.11 gamma=90.00
Positions (direct):
Ti (0.500, 0.500, 0.000)
Ti (0.000, 0.000, 0.000)
Ti (0.730, 0.138, 0.559)
Ti (0.770, 0.638, 0.441)
Ti (0.230, 0.362, 0.559)
Ti (0.270, 0.862, 0.441)
P (0.945, 0.642, 0.861)
P (0.445, 0.858, 0.861)
P (0.555, 0.142, 0.139)
P (0.055, 0.358, 0.139)
H (0.555, 0.396, 0.622)
H (0.945, 0.896, 0.378)
H (0.055, 0.104, 0.622)
H (0.445, 0.604, 0.378)

---

No. 20
The following is a PBE calculation of crystalline TiPH2 at its relaxed geometry, from Alexandria.

Properties
As for the final energy: -19.25 eV per cell. As for the magnetization: 0.00 μB/f.u.

Unit cell a=3.660 b=3.660 c=3.660 alpha=60.00 beta=60.00 gamma=60.00
Positions (direct):
P (0.000, 0.000, 0.000)
H (0.250, 0.250, 0.250)
H (0.750, 0.750, 0.750)
Ti (0.500, 0.500, 0.500)

---

No. 21
The following is a PBE calculation of crystalline TiPH at its relaxed geometry, from Alexandria.

Properties
The value obtained for the energy above the most stable polymorph in this dataset is 190 meV per atom. As for the final energy: -74.16 eV per cell. As for the magnetization: 0.00 μB/f.u.

Unit cell a=6.033 b=3.345 c=8.790 alpha=90.00 beta=133.03 gamma=90.00
Positions (direct):
Ti (0.339, 0.000, 0.066)
Ti (0.661, 0.000, 0.934)
Ti (0.339, 0.500, 0.566)
Ti (0.661, 0.500, 0.434)
P (0.785, 0.000, 0.704)
P (0.215, 0.000, 0.296)
P (0.785, 0.500, 0.204)
P (0.215, 0.500, 0.796)
H (0.714, 0.000, 0.361)
H (0.286, 0.000, 0.639)
H (0.714, 0.500, 0.861)
H (0.286, 0.500, 0.139)

---

No. 22
The following is a PBE calculation of crystalline TiP3H at its relaxed geometry, from Alexandria.

Properties
The value obtained for the energy above the most stable polymorph in this dataset is 354 meV per atom. As for the final energy: -23.86 eV per cell. As for the magnetization: 0.60 μB/f.u.

Unit cell a=4.669 b=4.669 c=4.669 alpha=90.00 beta=90.00 gamma=90.00
Last column: magnetic moment on the atom in μB.
Positions (direct):
P (0.000, 0.500, 0.000)  -0.04
P (0.000, 0.000, 0.500)  -0.08
P (0.500, 0.000, 0.000)  -0.03
H (0.500, 0.500, 0.500)  0.33
Ti (0.000, 0.000, 0.000)  0.07